[1]
# MnAg2Au9

A relaxed structure of MnAg2Au9 (PBE, the Alexandria database).

Results
Total moment = 4.696 μB per formula unit
Formation enthalpy at 0 K = -0.037 eV per atom

Structure (CIF):
```
data_MnAg2Au9
_chemical_formula_sum 'Mn1 Ag2 Au9'
_cell_length_a 4.1382
_cell_length_b 4.1382
_cell_length_c 12.4726
_cell_angle_alpha 90.00
_cell_angle_beta 90.00
_cell_angle_gamma 90.00
_symmetry_space_group_name_H-M 'P 4/m m m'
_symmetry_Int_Tables_number 123
_symmetry_space_group_name_Hall '-P 4 2'
loop_
_atom_site_label
_atom_site_fract_x
_atom_site_fract_y
_atom_site_fract_z
Mn1 0.0000 0.0000 0.0000
Ag1 0.0000 0.0000 0.3322
Au1 0.0000 0.5000 0.1618
Au2 0.0000 0.5000 0.5000
Au3 0.5000 0.5000 0.0000
Au4 0.5000 0.5000 0.3316
```

[2]
# ErCu4Bi

A relaxed structure of ErCu4Bi (PBE, the Alexandria database).

Results
Total moment = 0.000 μB per formula unit
Formation enthalpy at 0 K = -0.119 eV per atom

Structure (CIF):
```
data_ErCu4Bi
_chemical_formula_sum 'Er4 Cu16 Bi4'
_cell_length_a 7.4257
_cell_length_b 7.4257
_cell_length_c 7.4257
_cell_angle_alpha 90.00
_cell_angle_beta 90.00
_cell_angle_gamma 90.00
_symmetry_space_group_name_H-M 'F -4 3 m'
_symmetry_Int_Tables_number 216
_symmetry_space_group_name_Hall 'F -4 2 3'
loop_
_atom_site_label
_atom_site_fract_x
_atom_site_fract_y
_atom_site_fract_z
Er1 0.0000 0.0000 0.0000
Cu1 0.1258 0.1258 0.6258
Bi1 0.2500 0.2500 0.2500
```

[3]
# Zr3Ga4Pd4

A relaxed structure of Zr3Ga4Pd4 (PBE, the Alexandria database).

Results
Total moment = 0.000 μB per formula unit
Formation enthalpy at 0 K = -0.655 eV per atom

Structure (CIF):
```
data_Zr3Ga4Pd4
_chemical_formula_sum 'Zr6 Ga8 Pd8'
_cell_length_a 3.0758
_cell_length_b 4.4523
_cell_length_c 27.7419
_cell_angle_alpha 90.00
_cell_angle_beta 90.00
_cell_angle_gamma 90.00
_symmetry_space_group_name_H-M 'I m m m'
_symmetry_Int_Tables_number 71
_symmetry_space_group_name_Hall '-I 2 2'
loop_
_atom_site_label
_atom_site_fract_x
_atom_site_fract_y
_atom_site_fract_z
Zr1 0.0000 0.0000 0.0000
Zr2 0.0000 0.5000 0.1388
Ga1 0.0000 0.0000 0.2656
Ga2 0.0000 0.5000 0.4056
Pd1 0.0000 0.0000 0.4514
Pd2 0.0000 0.5000 0.3129
```

Result set for E: -44.8 -102.2 -131.5 eV for the cell shown, one per record in the order listed.
Result set for V: 17.80 17.06 17.27 Å³/atom, one per record in the order listed.